Record 1
Material: HfReSe3
Method: DFT, GGA-PBE
State: relaxed

Summary:
Density of states at the Fermi level: 1.709 states/eV/f.u.
Formation energy without anion corrections: 0.648 eV per atom
Space-group type: Pm-3m, No. 221

Cell and atoms, written as extended XYZ:
```
5
Lattice="5.156 0.000 0.000 0.000 5.156 0.000 0.000 0.000 5.156" Properties=species:S:1:pos:R:3 pbc="T T T"
Se 0.000 2.578 0.000
Se 0.000 0.000 2.578
Se 2.578 0.000 0.000
Re 2.578 2.578 2.578
Hf 0.000 0.000 0.000
```

Record 2
Material: HfReSe2
Method: DFT, GGA-PBE
State: relaxed

Summary:
Density of states at the Fermi level: 3.046 states/eV/f.u.
Formation energy without anion corrections: 0.019 eV per atom
Space-group type: I-42d, No. 122

Cell and atoms, written as extended XYZ:
```
8
Lattice="4.631 0.000 0.000 0.000 4.631 0.000 2.316 2.316 7.777" Properties=species:S:1:pos:R:3 pbc="T T T"
Hf 2.316 4.631 3.888
Hf 2.316 2.316 0.000
Re 0.000 0.000 0.000
Re 4.631 2.316 3.888
Se 5.789 5.912 5.832
Se 3.596 1.158 1.944
Se 3.474 3.351 5.832
Se 1.035 3.474 1.944
```

Record 3
Material: HfRe2Se
Method: DFT, GGA-PBE
State: relaxed

Summary:
Density of states at the Fermi level: 2.528 states/eV/f.u.
Formation energy without anion corrections: 0.607 eV per atom
Space-group type: I-42d, No. 122

Cell and atoms, written as extended XYZ:
```
8
Lattice="-1.163 5.428 5.039 -1.181 -5.171 5.298 1.364 0.138 5.743" Properties=species:S:1:pos:R:3 pbc="T T T"
Re -0.625 -2.134 5.734
Re 0.060 -0.167 8.559
Re -0.451 2.395 4.889
Re -0.944 0.695 12.975
Se -1.172 0.128 5.168
Se -0.495 -2.452 8.104
Hf -0.486 2.847 7.975
Hf 0.000 0.000 0.000
```

Record 4
Material: Hf2ReSe4
Method: DFT, GGA-PBE
State: relaxed

Summary:
Density of states at the Fermi level: 6.094 states/eV/f.u.
Formation energy without anion corrections: 0.054 eV per atom
Space-group type: I4/mmm, No. 139

Cell and atoms, written as extended XYZ:
```
7
Lattice="-0.669 -0.510 -4.823 1.170 -4.742 0.339 -6.118 -4.123 -1.201" Properties=species:S:1:pos:R:3 pbc="T T T"
Hf -1.230 -2.974 -2.000
Hf -4.386 -6.401 -3.685
Se -1.931 -5.824 -4.086
Se -3.685 -3.551 -1.599
Se -0.334 -0.255 -2.412
Se 0.585 -2.371 0.170
Re 0.000 0.000 0.000
```

Record 5
Material: Hf2ReSe2
Method: DFT, GGA-PBE
State: relaxed

Summary:
Density of states at the Fermi level: 5.063 states/eV/f.u.
Formation energy without anion corrections: -0.099 eV per atom
Space-group type: I4/mmm, No. 139

Cell and atoms, written as extended XYZ:
```
5
Lattice="5.145 0.000 0.000 0.000 5.145 0.000 2.573 2.573 3.826" Properties=species:S:1:pos:R:3 pbc="T T T"
Se 5.145 5.145 2.478
Se 2.573 2.573 1.348
Hf 5.145 2.573 1.913
Hf 2.573 5.145 1.913
Re 0.000 0.000 0.000
```

Record 6
Material: HfReSe
Method: DFT, GGA-PBE
State: relaxed

Summary:
Density of states at the Fermi level: 2.849 states/eV/f.u.
Formation energy without anion corrections: 0.009 eV per atom
Space-group type: P-6m2, No. 187

Cell and atoms, written as extended XYZ:
```
6
Lattice="3.285 0.000 0.000 -1.642 2.846 0.000 0.000 0.000 11.656" Properties=species:S:1:pos:R:3 pbc="T T T"
Se 1.642 0.632 4.037
Se 1.642 0.632 7.619
Hf 0.000 1.582 1.994
Hf 0.000 1.582 9.662
Re 0.000 1.581 5.828
Re 1.642 0.632 0.000
```

Record 7
Material: Hf9Re4Se
Method: DFT, GGA-PBE
State: relaxed

Summary:
Density of states at the Fermi level: 11.563 states/eV/f.u.
Formation energy without anion corrections: -0.395 eV per atom
Space-group type: P6_3/mmc, No. 194

Cell and atoms, written as extended XYZ:
```
28
Lattice="-1.883 6.007 5.943 -2.627 -8.172 1.122 7.311 -1.784 4.120" Properties=species:S:1:pos:R:3 pbc="T T T"
Hf -2.114 -5.552 2.253
Hf 3.879 -5.249 4.244
Hf 2.240 -6.036 6.811
Hf 0.800 -6.263 3.895
Hf 4.915 1.603 8.932
Hf 0.881 -1.172 7.769
Hf 1.920 -2.778 3.416
Hf -0.003 -3.701 6.429
Hf 3.794 -1.883 9.411
Hf 3.194 -3.067 6.403
Hf -0.393 -0.883 4.782
Hf 5.718 -0.959 6.398
Hf 2.001 2.314 7.290
Hf 0.561 2.086 4.375
Hf -2.917 -2.990 4.788
Hf -0.993 -2.067 1.774
Hf 2.804 -0.248 4.756
Hf -1.077 1.300 6.941
Re 4.696 -2.479 3.993
Re 1.679 -3.927 8.720
Re 3.656 -0.892 2.060
Re 2.939 -7.946 4.744
Re 0.000 0.000 0.000
Re -0.137 3.997 6.441
Re 1.122 -0.022 2.465
Re -1.895 -1.471 7.192
Se 3.352 -0.058 7.426
Se -0.551 -3.892 3.759
```

Record 8
Material: HfReSe2
Method: DFT, GGA-PBE
State: relaxed

Summary:
Density of states at the Fermi level: 4.688 states/eV/f.u.
Formation energy without anion corrections: -0.028 eV per atom
Space-group type: Fm-3m, No. 225

Cell and atoms, written as extended XYZ:
```
4
Lattice="0.252 -0.002 4.571 -2.160 3.236 2.413 -3.683 -1.080 2.495" Properties=species:S:1:pos:R:3 pbc="T T T"
Se -1.398 0.538 2.370
Se -4.193 1.615 7.109
Re -2.795 1.077 4.740
Hf 0.000 0.000 0.000
```

Record 9
Material: Hf2ReSe2
Method: DFT, GGA-PBE
State: relaxed

Summary:
Density of states at the Fermi level: 3.632 states/eV/f.u.
Formation energy without anion corrections: -0.249 eV per atom
Space-group type: P4/mbm, No. 127

Cell and atoms, written as extended XYZ:
```
10
Lattice="7.157 0.000 0.000 0.000 7.157 0.000 0.000 0.000 3.460" Properties=species:S:1:pos:R:3 pbc="T T T"
Se 4.630 1.052 0.000
Se 1.052 2.527 0.000
Se 2.527 6.106 0.000
Se 6.106 4.630 0.000
Re 3.579 3.579 0.000
Re 0.000 0.000 0.000
Hf 4.716 6.020 1.730
Hf 6.020 2.441 1.730
Hf 2.441 1.138 1.730
Hf 1.138 4.716 1.730
```

Record 10
Material: HfReSe2
Method: DFT, GGA-PBE
State: relaxed

Summary:
Density of states at the Fermi level: 3.785 states/eV/f.u.
Formation energy without anion corrections: 0.023 eV per atom
Space-group type: R-3m, No. 166

Cell and atoms, written as extended XYZ:
```
4
Lattice="3.362 -8.145 1.194 2.709 -8.246 -1.933 5.454 -6.964 -0.915" Properties=species:S:1:pos:R:3 pbc="T T T"
Se 10.460 -21.196 -1.502
Se 1.065 -2.158 -0.153
Re 0.000 0.000 0.000
Hf 5.762 -11.677 -0.827
```

Record 11
Material: HfTa2ReSe
Method: DFT, GGA-PBE
State: relaxed

Summary:
Density of states at the Fermi level: 3.418 states/eV/f.u.
Formation energy without anion corrections: 1.030 eV per atom
Space-group type: P4/mmm, No. 123

Cell and atoms, written as extended XYZ:
```
5
Lattice="4.639 0.000 0.000 0.000 4.789 0.000 0.000 0.000 4.639" Properties=species:S:1:pos:R:3 pbc="T T T"
Hf 0.000 2.395 0.000
Se 0.000 0.000 0.000
Re 2.320 2.395 2.320
Ta 0.000 0.000 2.320
Ta 2.320 0.000 0.000
```

Record 12
Material: HfZrReSe2
Method: DFT, GGA-PBE
State: relaxed

Summary:
Density of states at the Fermi level: 4.351 states/eV/f.u.
Formation energy without anion corrections: 1.239 eV per atom
Space-group type: P4/mmm, No. 123

Cell and atoms, written as extended XYZ:
```
5
Lattice="4.998 0.000 0.000 0.000 5.576 0.000 0.000 0.000 4.998" Properties=species:S:1:pos:R:3 pbc="T T T"
Zr 0.000 0.000 0.000
Se 2.499 0.000 0.000
Se 0.000 0.000 2.499
Re 2.499 2.788 2.499
Hf 0.000 2.788 0.000
```

Record 13
Material: Hf9Re4Si
Method: DFT, GGA-PBE
State: relaxed

Summary:
Density of states at the Fermi level: 7.835 states/eV/f.u.
Formation energy without anion corrections: -0.382 eV per atom
Space-group type: P6_3/mmc, No. 194

Cell and atoms, written as extended XYZ:
```
28
Lattice="8.556 0.000 0.000 -4.278 7.410 0.000 0.000 0.000 8.666" Properties=species:S:1:pos:R:3 pbc="T T T"
Hf 6.049 1.448 4.743
Hf -1.635 3.996 6.500
Hf 0.000 6.827 6.500
Hf 5.913 3.414 2.167
Hf 1.635 3.996 6.500
Hf 1.771 5.962 3.923
Hf 0.000 2.895 0.410
Hf 2.507 1.448 8.256
Hf -1.771 5.962 3.923
Hf 6.049 1.448 8.256
Hf 4.278 4.514 8.256
Hf 0.000 2.895 3.923
Hf 4.278 4.514 4.743
Hf -1.771 5.962 0.410
Hf 2.643 3.414 2.167
Hf 4.278 0.582 2.167
Hf 1.771 5.962 0.410
Hf 2.507 1.448 4.743
Re 2.876 6.600 6.500
Re 1.402 0.809 2.167
Re 7.154 0.809 2.167
Re 0.000 0.000 0.000
Re -2.876 6.600 6.500
Re 4.278 5.791 2.167
Re 0.000 0.000 4.333
Re 0.000 1.619 6.500
Si 4.278 2.470 6.500
Si 0.000 4.940 2.167
```

Record 14
Material: HfRe2Si2
Method: DFT, GGA-PBE
State: relaxed

Summary:
Density of states at the Fermi level: 3.463 states/eV/f.u.
Formation energy without anion corrections: 0.008 eV per atom
Space-group type: I4/mmm, No. 139

Cell and atoms, written as extended XYZ:
```
5
Lattice="4.251 0.000 0.000 0.000 4.251 0.000 2.126 2.126 4.727" Properties=species:S:1:pos:R:3 pbc="T T T"
Hf 0.000 0.000 0.000
Re 4.251 4.251 3.565
Re 2.126 2.126 1.163
Si 4.251 2.126 2.364
Si 2.126 4.251 2.364
```

Record 15
Material: Hf3ReSi
Method: DFT, GGA-PBE
State: relaxed

Summary:
Density of states at the Fermi level: 5.548 states/eV/f.u.
Formation energy without anion corrections: 0.720 eV per atom
Space-group type: Pm-3m, No. 221

Cell and atoms, written as extended XYZ:
```
5
Lattice="4.774 0.000 0.000 0.000 4.774 0.000 0.000 0.000 4.774" Properties=species:S:1:pos:R:3 pbc="T T T"
Si 0.000 0.000 0.000
Re 2.387 2.387 2.387
Hf 0.000 2.387 0.000
Hf 2.387 0.000 0.000
Hf 0.000 0.000 2.387
```

Record 16
Material: HfRe2Si
Method: DFT, GGA-PBE
State: relaxed

Summary:
Density of states at the Fermi level: 4.537 states/eV/f.u.
Formation energy without anion corrections: 0.357 eV per atom
Space-group type: I-42d, No. 122

Cell and atoms, written as extended XYZ:
```
8
Lattice="-6.858 2.648 -0.438 -2.096 -4.535 5.411 -3.892 0.860 4.225" Properties=species:S:1:pos:R:3 pbc="T T T"
Si -5.232 -2.309 6.062
Si -4.477 -0.943 2.487
Re -3.634 -2.098 4.352
Re -5.028 1.113 1.491
Re -10.603 -0.680 7.131
Re -6.428 -0.389 5.423
Hf 0.000 0.000 0.000
Hf -7.614 1.282 3.137
```

Record 17
Material: Hf2ReSi2
Method: DFT, GGA-PBE
State: relaxed

Summary:
Density of states at the Fermi level: 1.974 states/eV/f.u.
Formation energy without anion corrections: -0.739 eV per atom
Space-group type: Immm, No. 71

Cell and atoms, written as extended XYZ:
```
5
Lattice="-3.475 1.846 -0.645 -3.500 -0.986 3.708 -1.052 3.586 3.606" Properties=species:S:1:pos:R:3 pbc="T T T"
Si -4.571 1.182 3.358
Si -3.456 3.264 3.311
Hf -2.054 1.145 2.015
Hf -5.974 3.302 4.654
Re 0.000 0.000 0.000
```

Record 18
Material: HfReSi3
Method: DFT, GGA-PBE
State: relaxed

Summary:
Density of states at the Fermi level: 7.350 states/eV/f.u.
Formation energy without anion corrections: 1.903 eV per atom
Space-group type: Pm-3m, No. 221

Cell and atoms, written as extended XYZ:
```
5
Lattice="-4.079 1.576 -1.929 1.481 -1.444 -4.309 -2.004 -4.275 0.744" Properties=species:S:1:pos:R:3 pbc="T T T"
Si -1.002 -2.138 0.372
Si -2.039 0.788 -0.965
Si 0.740 -0.722 -2.155
Hf 0.000 0.000 0.000
Re -2.301 -2.071 -2.747
```

Record 19
Material: HfRe2Si2
Method: DFT, GGA-PBE
State: relaxed

Summary:
Density of states at the Fermi level: 4.973 states/eV/f.u.
Formation energy without anion corrections: -0.282 eV per atom
Space-group type: P4/mbm, No. 127

Cell and atoms, written as extended XYZ:
```
10
Lattice="7.080 0.000 0.000 0.000 7.080 0.000 0.000 0.000 3.005" Properties=species:S:1:pos:R:3 pbc="T T T"
Si 0.978 2.562 0.000
Si 2.562 6.102 0.000
Si 4.518 0.978 0.000
Si 6.102 4.518 0.000
Re 1.080 4.620 1.503
Re 6.000 2.460 1.503
Re 4.620 6.000 1.503
Re 2.460 1.080 1.503
Hf 0.000 0.000 0.000
Hf 3.540 3.540 0.000
```

Record 20
Material: Hf2ReSi2
Method: DFT, GGA-PBE
State: relaxed

Summary:
Density of states at the Fermi level: 3.369 states/eV/f.u.
Formation energy without anion corrections: -0.754 eV per atom
Space-group type: P4/mbm, No. 127

Cell and atoms, written as extended XYZ:
```
10
Lattice="-1.588 -4.866 -4.024 5.819 0.483 -2.880 1.458 -2.557 2.517" Properties=species:S:1:pos:R:3 pbc="T T T"
Hf 1.321 -5.147 -3.015
Hf 1.212 -2.789 -0.556
Hf 4.477 -4.151 -3.830
Hf 4.368 -1.793 -1.372
Si -0.239 -3.008 -2.918
Si 1.938 -0.460 -1.590
Si 2.294 -3.923 -5.314
Si 4.470 -1.375 -3.986
Re 2.116 -2.192 -3.452
Re 0.000 0.000 0.000
```

Record 21
Material: HfReSi3
Method: DFT, GGA-PBE
State: relaxed

Summary:
Density of states at the Fermi level: 3.916 states/eV/f.u.
Formation energy without anion corrections: 0.700 eV per atom
Space-group type: Pm-3m, No. 221

Cell and atoms, written as extended XYZ:
```
5
Lattice="4.646 0.000 0.000 0.000 4.646 0.000 0.000 0.000 4.646" Properties=species:S:1:pos:R:3 pbc="T T T"
Si 2.323 0.000 0.000
Si 0.000 2.323 0.000
Si 0.000 0.000 2.323
Hf 2.323 2.323 2.323
Re 0.000 0.000 0.000
```

Record 22
Material: Hf3ReSi
Method: DFT, GGA-PBE
State: relaxed

Summary:
Density of states at the Fermi level: 8.767 states/eV/f.u.
Formation energy without anion corrections: 0.773 eV per atom
Space-group type: Pm-3m, No. 221

Cell and atoms, written as extended XYZ:
```
5
Lattice="-0.607 4.606 1.816 -4.545 -1.245 1.636 1.964 -1.456 4.348" Properties=species:S:1:pos:R:3 pbc="T T T"
Hf 0.982 -0.728 2.174
Hf -0.304 2.303 0.908
Hf -2.272 -0.622 0.818
Si -1.594 0.953 3.900
Re 0.000 0.000 0.000
```

Record 23
Material: HfTl2ReSi
Method: DFT, GGA-PBE
State: relaxed

Summary:
Density of states at the Fermi level: 2.572 states/eV/f.u.
Formation energy without anion corrections: 1.035 eV per atom
Space-group type: P4/mmm, No. 123

Cell and atoms, written as extended XYZ:
```
5
Lattice="5.305 0.000 0.000 0.000 4.569 0.000 0.000 0.000 5.305" Properties=species:S:1:pos:R:3 pbc="T T T"
Hf 2.652 2.285 2.652
Re 0.000 0.000 0.000
Tl 2.652 0.000 0.000
Tl 0.000 0.000 2.652
Si 0.000 2.285 0.000
```

Record 24
Material: HfZrReSi2
Method: DFT, GGA-PBE
State: relaxed

Summary:
Density of states at the Fermi level: 4.637 states/eV/f.u.
Formation energy without anion corrections: 1.335 eV per atom
Space-group type: P4/mmm, No. 123

Cell and atoms, written as extended XYZ:
```
5
Lattice="-2.471 1.700 -3.761 1.493 -3.706 -2.656 -3.847 -2.538 1.380" Properties=species:S:1:pos:R:3 pbc="T T T"
Zr 0.000 0.000 0.000
Si -1.236 0.850 -1.881
Si -1.923 -1.269 0.690
Hf -2.412 -2.272 -2.519
Re 0.746 -1.853 -1.328
```

Record 25
Material: Hf2ZrReSi
Method: DFT, GGA-PBE
State: relaxed

Summary:
Density of states at the Fermi level: 5.478 states/eV/f.u.
Formation energy without anion corrections: 1.730 eV per atom
Space-group type: P4/mmm, No. 123

Cell and atoms, written as extended XYZ:
```
5
Lattice="-3.132 3.973 0.803 -3.385 -2.006 -3.280 -2.034 -2.313 3.514" Properties=species:S:1:pos:R:3 pbc="T T T"
Si -4.276 -0.173 0.519
Hf -1.566 1.987 0.401
Hf -1.693 -1.003 -1.640
Zr 0.000 0.000 0.000
Re -1.017 -1.157 1.757
```